Record 1
A plane-wave DFT calculation with GGA-PBE was carried out for a relaxed Ta2MnBeCu crystal.

Values from the calculation:
* formation enthalpy at 0 K: 0.649 eV per atom
* D(E_F): 2.7 states/eV/cell

Structure (CIF):
```
data_Ta2MnBeCu
_chemical_formula_sum 'Ta2 Mn1 Be1 Cu1'
_cell_length_a 4.3980
_cell_length_b 4.3980
_cell_length_c 3.8061
_cell_angle_alpha 90.00
_cell_angle_beta 90.00
_cell_angle_gamma 90.00
_space_group_name_H-M_alt 'P 4/m m m'
_space_group_IT_number 123
_space_group_name_Hall '-P 4 2'
loop_
_atom_site_label
_atom_site_type_symbol
_atom_site_fract_x
_atom_site_fract_y
_atom_site_fract_z
Ta1 Ta 0.0000 0.5000 0.0000
Mn1 Mn 0.0000 0.0000 0.5000
Be1 Be 0.0000 0.0000 0.0000
Cu1 Cu 0.5000 0.5000 0.5000
```

---

Record 2
A plane-wave DFT calculation with GGA-PBE was carried out for a relaxed AsIr2Os crystal.

Values from the calculation:
* formation enthalpy at 0 K: 0.434 eV per atom
* D(E_F): 4.4 states/eV/cell

Structure (CIF):
```
data_AsIr2Os
_chemical_formula_sum 'As1 Ir2 Os1'
_cell_length_a 2.7978
_cell_length_b 4.6265
_cell_length_c 4.6354
_cell_angle_alpha 90.00
_cell_angle_beta 90.00
_cell_angle_gamma 90.00
_space_group_name_H-M_alt 'P m m m'
_space_group_IT_number 47
_space_group_name_Hall '-P 2 2'
loop_
_atom_site_label
_atom_site_type_symbol
_atom_site_fract_x
_atom_site_fract_y
_atom_site_fract_z
As1 As 0.0000 0.0000 0.0000
Ir1 Ir 0.0000 0.5000 0.5000
Ir2 Ir 0.5000 0.5000 0.0000
Os1 Os 0.5000 0.0000 0.5000
```

---

Record 3
A plane-wave DFT calculation with GGA-PBE was carried out for a relaxed SrAlCd2As crystal.

Values from the calculation:
* formation enthalpy at 0 K: 0.738 eV per atom
* D(E_F): 3.2 states/eV/cell

Structure (CIF):
```
data_SrAlCd2As
_chemical_formula_sum 'Sr1 Al1 Cd2 As1'
_cell_length_a 6.1810
_cell_length_b 6.1810
_cell_length_c 5.6849
_cell_angle_alpha 90.00
_cell_angle_beta 90.00
_cell_angle_gamma 90.00
_space_group_name_H-M_alt 'P 4/m m m'
_space_group_IT_number 123
_space_group_name_Hall '-P 4 2'
loop_
_atom_site_label
_atom_site_type_symbol
_atom_site_fract_x
_atom_site_fract_y
_atom_site_fract_z
Sr1 Sr 0.0000 0.0000 0.0000
Al1 Al 0.5000 0.5000 0.5000
Cd1 Cd 0.0000 0.5000 0.0000
As1 As 0.0000 0.0000 0.5000
```